# GGA-PBE Sm5Dy3Er2, optimized geometry
data_Sm5Dy3Er2
_cell_length_a 9.323
_cell_length_b 9.323
_cell_length_c 9.738
_cell_angle_alpha 108.26
_cell_angle_beta 108.26
_cell_angle_gamma 110.07
_space_group_name_H-M_alt 'P 1'
_space_group_IT_number 1
loop_
_space_group_symop_operation_xyz
'x,y,z'
loop_
_atom_site_label
_atom_site_type_symbol
_atom_site_fract_x
_atom_site_fract_y
_atom_site_fract_z
Sm1 Sm 0.025 0.975 0.750
Sm2 Sm 0.149 0.383 0.778
Sm3 Sm 0.232 0.768 0.750
Sm4 Sm 0.272 0.728 0.250
Sm5 Sm 0.383 0.149 0.278
Sm6 Sm 0.617 0.851 0.722
Sm7 Sm 0.728 0.272 0.750
Sm8 Sm 0.768 0.232 0.250
Sm9 Sm 0.851 0.617 0.222
Sm10 Sm 0.975 0.025 0.250
Dy1 Dy 0.020 0.268 0.051
Dy2 Dy 0.268 0.020 0.551
Dy3 Dy 0.471 0.529 0.250
Dy4 Dy 0.529 0.471 0.750
Dy5 Dy 0.732 0.980 0.449
Dy6 Dy 0.980 0.732 0.949
Er1 Er 0.223 0.463 0.450
Er2 Er 0.463 0.223 0.950
Er3 Er 0.537 0.777 0.050
Er4 Er 0.777 0.537 0.550
# - D(E_F): 1.812 states/eV per atom
# - Offset from the most stable computed form: 0.00 kJ per mole of atoms
# - Calculated formation energy: 192 meV/atom
# - Raw total energy: -4.46 eV per atom

# GGA-PBE K2SrTaSi, optimized geometry
data_K2SrTaSi
_cell_length_a 6.522
_cell_length_b 6.522
_cell_length_c 5.031
_cell_angle_alpha 90.00
_cell_angle_beta 90.00
_cell_angle_gamma 90.00
_space_group_name_H-M_alt 'P 1'
_space_group_IT_number 1
loop_
_space_group_symop_operation_xyz
'x,y,z'
loop_
_atom_site_label
_atom_site_type_symbol
_atom_site_fract_x
_atom_site_fract_y
_atom_site_fract_z
K1 K 0.000 0.500 0.000
K2 K 0.500 0.000 0.000
Sr1 Sr 0.000 0.000 0.500
Ta1 Ta 0.500 0.500 0.000
Si1 Si 0.500 0.500 0.500
# - D(E_F): 0.870 states/eV per atom
# - Raw formation energy: 484 kJ/mol of formula units
# - Offset from the most stable computed form: 0.00 kJ per mole of atoms
# - Raw total energy: -3.23 eV per atom

# GGA-PBE SmBe2ZnPd5, optimized geometry
data_SmBe2ZnPd5
_cell_length_a 4.426
_cell_length_b 4.426
_cell_length_c 7.043
_cell_angle_alpha 90.00
_cell_angle_beta 90.00
_cell_angle_gamma 90.00
_space_group_name_H-M_alt 'P 1'
_space_group_IT_number 1
loop_
_space_group_symop_operation_xyz
'x,y,z'
loop_
_atom_site_label
_atom_site_type_symbol
_atom_site_fract_x
_atom_site_fract_y
_atom_site_fract_z
Sm1 Sm 0.000 0.000 0.000
Be1 Be 0.500 0.500 0.339
Be2 Be 0.500 0.500 0.661
Zn1 Zn 0.000 0.000 0.500
Pd1 Pd 0.000 0.500 0.290
Pd2 Pd 0.000 0.500 0.710
Pd3 Pd 0.500 0.000 0.290
Pd4 Pd 0.500 0.000 0.710
Pd5 Pd 0.500 0.500 0.000
# - D(E_F): 0.335 states/eV per atom
# - Calculated formation energy: -535 meV/atom
# - Raw total energy: -4.91 eV per atom

# GGA-PBE Y2TiMnW, optimized geometry
data_Y2TiMnW
_cell_length_a 5.230
_cell_length_b 5.230
_cell_length_c 4.202
_cell_angle_alpha 90.00
_cell_angle_beta 90.00
_cell_angle_gamma 90.00
_space_group_name_H-M_alt 'P 1'
_space_group_IT_number 1
loop_
_space_group_symop_operation_xyz
'x,y,z'
loop_
_atom_site_label
_atom_site_type_symbol
_atom_site_fract_x
_atom_site_fract_y
_atom_site_fract_z
Y1 Y 0.000 0.500 0.000
Y2 Y 0.500 0.000 0.000
Ti1 Ti 0.000 0.000 0.500
Mn1 Mn 0.000 0.000 0.000
W1 W 0.500 0.500 0.500
# - D(E_F): 1.199 states/eV per atom
# - Calculated formation energy: 965 meV/atom
# - Raw total energy: -7.62 eV per atom

Which formula does entry 2 have? K2SrTaSi

Number 2 is which compound? K2SrTaSi